(1)
A plane-wave DFT calculation with PBE was carried out for crystalline BiSbBr6 at its relaxed geometry.

Output
**Final energy**: -22.96 eV/cell
**Mass density**: 4763 kg/m³

The structure in CIF format:
```
data_BiSbBr6
_cell_length_a 7.675
_cell_length_b 7.675
_cell_length_c 7.675
_cell_angle_alpha 54.99
_cell_angle_beta 54.99
_cell_angle_gamma 54.99
_space_group_name_H-M_alt 'P 1'
_space_group_IT_number 1
_space_group_name_Hall 'P 1'
loop_
_atom_site_label
_atom_site_type_symbol
_atom_site_fract_x
_atom_site_fract_y
_atom_site_fract_z
Bi1 Bi 0.000 0.000 0.000
Sb1 Sb 0.500 0.500 0.500
Br1 Br 0.085 0.422 0.746
Br2 Br 0.254 0.915 0.578
Br3 Br 0.422 0.746 0.085
Br4 Br 0.578 0.254 0.915
Br5 Br 0.746 0.085 0.422
Br6 Br 0.915 0.578 0.254
```

=====

(2)
A plane-wave DFT calculation with PBE was carried out for crystalline Nd3Cu at its relaxed geometry.

Output
**Final energy**: -35.61 eV/cell
**Energy of formation**: 0.60 eV/f.u.
**Mass density**: 7333 kg/m³

The structure in CIF format:
```
data_Nd3Cu
_cell_length_a 4.712
_cell_length_b 4.712
_cell_length_c 10.121
_cell_angle_alpha 90.00
_cell_angle_beta 90.00
_cell_angle_gamma 90.00
_space_group_name_H-M_alt 'P 1'
_space_group_IT_number 1
_space_group_name_Hall 'P 1'
loop_
_atom_site_label
_atom_site_type_symbol
_atom_site_fract_x
_atom_site_fract_y
_atom_site_fract_z
Nd1 Nd 0.000 0.000 0.000
Nd2 Nd 0.000 0.500 0.250
Nd3 Nd 0.000 0.500 0.750
Nd4 Nd 0.500 0.000 0.250
Nd5 Nd 0.500 0.000 0.750
Nd6 Nd 0.500 0.500 0.500
Cu1 Cu 0.000 0.000 0.500
Cu2 Cu 0.500 0.500 0.000
```

=====

(3)
A plane-wave DFT calculation with PBE was carried out for crystalline Ba2Hg2Pt at its relaxed geometry.

Output
**Final energy**: -26.94 eV/cell
**Energy of formation**: -2.98 eV/f.u.
**Mass density**: 8580 kg/m³
**Polymorph energy (0 for the lowest one)**: 0.000 eV per atom

The structure in CIF format:
```
data_Ba2Hg2Pt
_cell_length_a 6.683
_cell_length_b 6.683
_cell_length_c 13.438
_cell_angle_alpha 116.09
_cell_angle_beta 116.09
_cell_angle_gamma 39.43
_space_group_name_H-M_alt 'P 1'
_space_group_IT_number 1
_space_group_name_Hall 'P 1'
loop_
_atom_site_label
_atom_site_type_symbol
_atom_site_fract_x
_atom_site_fract_y
_atom_site_fract_z
Ba1 Ba 0.066 0.066 0.363
Ba2 Ba 0.197 0.197 0.118
Ba3 Ba 0.803 0.803 0.882
Ba4 Ba 0.934 0.934 0.637
Hg1 Hg 0.368 0.368 0.410
Hg2 Hg 0.480 0.480 0.121
Hg3 Hg 0.520 0.520 0.879
Hg4 Hg 0.632 0.632 0.590
Pt1 Pt 0.281 0.281 0.696
Pt2 Pt 0.719 0.719 0.304
```